A relaxed structure of AlBiRh3. Source: Alexandria, functional PBE-GGA.

Computed properties:
excess energy over the best structure of this formula in the dataset	930	meV/atom
V	23.80	Å³ per atom
density	7.60	g cm⁻³
formation enthalpy at 0 K	1184	meV per atom
DOS(E_F)	9.53	states/eV/cell
total magnetic moment	0.0	μB per formula unit
space-group type	No. 221

Cell: 4.919 4.919 4.919 Å, 90.00 90.00 90.00°
Sites, in units of the cell vectors:
Rh  0.000  0.500  0.000
Rh  0.500  0.000  0.000
Rh  0.000  0.000  0.500
Bi  0.000  0.000  0.000
Al  0.500  0.500  0.500